Here is a relaxed NdTmPdPt crystal from Alexandria. Energies are from PBE.

Unit cell a=4.5209 b=3.7988 c=10.7091 alpha=90.00 beta=90.00 gamma=90.00
With the nearest neighbours (Å) after each atom.
Space group Amm2 (No. 38)
Asymmetric unit:
Nd1 0.0000 0.0000 0.0000 x2  3 Pt 2.92-3.09, 4 Pd 3.01
Tm1 0.5000 0.0000 0.7257 x2  3 Pd 2.99-3.03, 4 Pt 2.99
Pd1 0.5000 0.0000 0.4463 x2  2 Pt 2.93, 3 Tm 2.99-3.03, 4 Nd 3.01
Pt1 0.0000 0.0000 0.2727 x2  3 Nd 2.92-3.09, 2 Pd 2.93, 4 Tm 2.99

Values from the calculation:
Excess energy over the best structure of this formula in the dataset (meV/atom): 0
Calculated volume (Å³/cell): 184
N(E_F) (states/eV/cell): 4.95
Total magnetic moment (Bohr magnetons per cell): 0.000
Formation energy (kJ per mole of atoms): -101.4